No. 1
## Li2RuSe (PBEsol)

Data for crystalline Li2RuSe at its relaxed geometry.

```
Li2RuSe
1.0
2.657 0.000 0.000
0.000 2.657 0.000
0.000 0.000 8.291
Li Ru Se
2 1 1
Cartesian
0.000 0.000 2.029
0.000 0.000 6.263
1.328 1.328 0.000
1.328 1.328 4.146
```

**Space-group type**: P4/mmm, No. 123
**Size of the total moment**: 0.00 μB per formula unit
**Energy relative to the elements, uncorrected**: -0.022 eV/atom
**Final energy**: -18.0 eV per cell

---

No. 2
## BaSr3Pd (PBEsol)

Data for crystalline BaSr3Pd at its relaxed geometry.

```
BaSr3Pd
1.0
6.036 0.000 0.000
0.000 6.036 0.000
0.000 0.000 6.036
Ba Sr Pd
1 3 1
Cartesian
0.000 0.000 0.000
0.000 3.018 3.018
3.018 0.000 3.018
3.018 3.018 0.000
3.018 3.018 3.018
```

**Space-group type**: Pm-3m, No. 221
**Size of the total moment**: 0.00 μB per formula unit
**Energy of formation**: -0.244 eV/atom
**Final energy**: -14.8 eV per cell

---

No. 3
## KBe2As2 (PBEsol)

Data for crystalline KBe2As2 at its relaxed geometry.

```
KBe2As2
1.0
-1.777 1.777 7.419
1.777 -1.777 7.419
1.777 1.777 -7.419
K Be As
1 2 2
Cartesian
0.000 0.000 0.000
1.777 0.000 3.709
0.000 1.777 3.709
0.000 0.000 5.167
0.000 0.000 9.671
```

**Space-group type**: I4/mmm, No. 139
**Size of the total moment**: 0.00 μB per formula unit
**Energy of formation**: -0.319 eV/atom
**Final energy**: -20.9 eV per cell

---

No. 4
## Tl2GeSbRh (PBEsol)

Data for crystalline Tl2GeSbRh at its relaxed geometry.

```
Tl2GeSbRh
1.0
5.597 0.000 0.000
0.000 5.597 0.000
0.000 0.000 4.841
Tl Ge Sb Rh
2 1 1 1
Cartesian
0.000 2.798 0.000
2.798 0.000 0.000
0.000 0.000 2.420
2.798 2.798 0.000
2.798 2.798 2.420
```

**Space-group type**: P4/mmm, No. 123
**Size of the total moment**: 0.00 μB per formula unit
**Energy relative to the elements, uncorrected**: 0.917 eV/atom
**Final energy**: -18.3 eV per cell

---

No. 5
## ZnCd4As (PBEsol)

Data for crystalline ZnCd4As at its relaxed geometry.

```
ZnCd4As
1.0
0.000 3.981 3.981
3.981 0.000 3.981
3.981 3.981 0.000
Zn Cd As
1 4 1
Cartesian
0.000 0.000 0.000
4.977 2.984 2.984
2.984 4.977 2.984
2.984 2.984 4.977
4.977 4.977 4.977
1.990 1.990 1.990
```

**Space-group type**: F-43m, No. 216
**Size of the total moment**: 0.00 μB per formula unit
**Energy of formation**: 0.301 eV/atom
**Final energy**: -9.7 eV per cell

---

No. 6
## SbAs2Br (PBEsol)

Data for crystalline SbAs2Br at its relaxed geometry.

```
SbAs2Br
1.0
-1.965 2.053 6.394
1.965 -2.053 6.394
1.965 2.053 -6.394
Sb As Br
1 2 1
Cartesian
0.000 0.000 0.000
1.965 0.000 2.190
0.000 0.000 7.007
0.000 2.053 3.951
```

**Space-group type**: Imm2, No. 44
**Size of the total moment**: 0.00 μB per formula unit
**Energy relative to the lowest polymorph listed for this composition**: 0.15 eV per formula unit
**Energy relative to the elements, uncorrected**: 0.084 eV/atom
**Final energy**: -16.3 eV per cell

---

No. 7
## Mg2GeIrF (PBEsol)

Data for crystalline Mg2GeIrF at its relaxed geometry.

```
Mg2GeIrF
1.0
3.845 0.000 0.000
0.000 3.845 0.000
0.000 0.000 5.313
Mg Ge Ir F
2 1 1 1
Cartesian
0.000 1.923 0.000
1.923 0.000 0.000
0.000 0.000 2.656
1.923 1.923 2.656
1.923 1.923 0.000
```

**Space-group type**: P4/mmm, No. 123
**Size of the total moment**: 0.00 μB per formula unit
**Energy relative to the elements, uncorrected**: -0.405 eV/atom
**Final energy**: -22.2 eV per cell

---

No. 8
## ZnCd3 (PBEsol)

Data for crystalline ZnCd3 at its relaxed geometry.

```
ZnCd3
1.0
4.708 -1.525 0.000
4.708 1.525 0.000
-1.171 0.000 5.412
Zn Cd
1 3
Cartesian
0.000 0.000 0.000
1.528 0.000 4.132
4.123 0.000 2.706
6.718 0.000 1.280
```

**Space-group type**: C2/m, No. 12
**Size of the total moment**: 0.00 μB per formula unit
**Energy of formation**: 0.058 eV/atom
**Final energy**: -4.9 eV per cell